(1)
Here is a relaxed Cr2CdAu crystal from Alexandria. Energies are from PBEsol.

Calculated values
Formation enthalpy at 0 K = 592.6 meV/atom
DOS at the Fermi energy = 1.05 states/eV per atom

```
data_Cr2CdAu
_chemical_formula_sum 'Cr4 Cd2 Au2'
_space_group_name_H-M_alt 'C m m m'
_space_group_IT_number 65
_space_group_name_Hall '-C 2 2'
_cell_length_a 5.284
_cell_length_b 8.389
_cell_length_c 2.636
_cell_angle_alpha 90.00
_cell_angle_beta 90.00
_cell_angle_gamma 90.00
loop_
_atom_site_label
_atom_site_type_symbol
_atom_site_fract_x
_atom_site_fract_y
_atom_site_fract_z
Cr1 Cr 0.250 0.250 0.000
Cd1 Cd 0.000 0.000 0.500
Au1 Au 0.000 0.500 0.500
```

=====

(2)
Here is a relaxed Cr2CdAu crystal from Alexandria. Energies are from PBEsol.

Calculated values
Formation enthalpy at 0 K = 205.7 meV/atom
DOS at the Fermi energy = 0.59 states/eV per atom

```
data_Cr2CdAu
_chemical_formula_sum 'Cr2 Cd1 Au1'
_space_group_name_H-M_alt 'P 4 m m'
_space_group_IT_number 99
_space_group_name_Hall 'P 4 -2'
_cell_length_a 3.001
_cell_length_b 3.001
_cell_length_c 6.752
_cell_angle_alpha 90.00
_cell_angle_beta 90.00
_cell_angle_gamma 90.00
loop_
_atom_site_label
_atom_site_type_symbol
_atom_site_fract_x
_atom_site_fract_y
_atom_site_fract_z
Cr1 Cr 0.000 0.000 0.000
Cr2 Cr 0.500 0.500 0.156
Cd1 Cd 0.500 0.500 0.712
Au1 Au 0.000 0.000 0.421
```

=====

(3)
Here is a relaxed CrCd3Au crystal from Alexandria. Energies are from PBEsol.

Calculated values
Formation enthalpy at 0 K = 970.6 meV/atom
DOS at the Fermi energy = 0.32 states/eV per atom

```
data_CrCd3Au
_chemical_formula_sum 'Cr1 Cd3 Au1'
_space_group_name_H-M_alt 'P m -3 m'
_space_group_IT_number 221
_space_group_name_Hall '-P 4 2 3'
_cell_length_a 5.097
_cell_length_b 5.097
_cell_length_c 5.097
_cell_angle_alpha 90.00
_cell_angle_beta 90.00
_cell_angle_gamma 90.00
loop_
_atom_site_label
_atom_site_type_symbol
_atom_site_fract_x
_atom_site_fract_y
_atom_site_fract_z
Cr1 Cr 0.000 0.000 0.000
Cd1 Cd 0.000 0.000 0.500
Au1 Au 0.500 0.500 0.500
```

=====

(4)
Here is a relaxed CsCd2Au2 crystal from Alexandria. Energies are from PBEsol.

Calculated values
Formation enthalpy at 0 K = -148.3 meV/atom
DOS at the Fermi energy = 0.30 states/eV per atom

```
data_CsCd2Au2
_chemical_formula_sum 'Cs2 Cd4 Au4'
_space_group_name_H-M_alt 'I 4/m m m'
_space_group_IT_number 139
_space_group_name_Hall '-I 4 2'
_cell_length_a 4.780
_cell_length_b 4.780
_cell_length_c 11.590
_cell_angle_alpha 90.00
_cell_angle_beta 90.00
_cell_angle_gamma 90.00
loop_
_atom_site_label
_atom_site_type_symbol
_atom_site_fract_x
_atom_site_fract_y
_atom_site_fract_z
Cs1 Cs 0.000 0.000 0.000
Cd1 Cd 0.000 0.500 0.250
Au1 Au 0.000 0.000 0.381
```

=====

(5)
Here is a relaxed Cs2CdAu crystal from Alexandria. Energies are from PBEsol.

Calculated values
Formation enthalpy at 0 K = 8.0 meV/atom
DOS at the Fermi energy = 0.57 states/eV per atom

```
data_Cs2CdAu
_chemical_formula_sum 'Cs8 Cd4 Au4'
_space_group_name_H-M_alt 'F m -3 m'
_space_group_IT_number 225
_space_group_name_Hall '-F 4 2 3'
_cell_length_a 8.557
_cell_length_b 8.557
_cell_length_c 8.557
_cell_angle_alpha 90.00
_cell_angle_beta 90.00
_cell_angle_gamma 90.00
loop_
_atom_site_label
_atom_site_type_symbol
_atom_site_fract_x
_atom_site_fract_y
_atom_site_fract_z
Cs1 Cs 0.250 0.250 0.250
Cd1 Cd 0.000 0.000 0.000
Au1 Au 0.000 0.000 0.500
```

=====

(6)
Here is a relaxed CsCd2Au crystal from Alexandria. Energies are from PBEsol.

Calculated values
Formation enthalpy at 0 K = 4.0 meV/atom
DOS at the Fermi energy = 0.36 states/eV per atom

```
data_CsCd2Au
_chemical_formula_sum 'Cs4 Cd8 Au4'
_space_group_name_H-M_alt 'I 41/a m d'
_space_group_IT_number 141
_cell_length_a 5.625
_cell_length_b 5.625
_cell_length_c 18.623
_cell_angle_alpha 90.00
_cell_angle_beta 90.00
_cell_angle_gamma 90.00
loop_
_space_group_symop_operation_xyz
'x,y,z'
'-x,-y,-z'
'-y+1/4,x+3/4,z+1/4'
'y+1/4,-x+3/4,-z+1/4'
'-x+1/2,-y,z+1/2'
'x+1/2,y,-z+1/2'
'y+1/4,-x+1/4,z+3/4'
'-y+1/4,x+1/4,-z+3/4'
'x,-y,-z'
'-x,y,z'
'-y+1/4,-x+1/4,-z+3/4'
'y+1/4,x+1/4,z+3/4'
'-x+1/2,y,-z+1/2'
'x+1/2,-y,z+1/2'
'y+1/4,x+3/4,-z+1/4'
'-y+1/4,-x+3/4,z+1/4'
'x+1/2,y+1/2,z+1/2'
'-x+1/2,-y+1/2,-z+1/2'
'-y+3/4,x+1/4,z+3/4'
'y+3/4,-x+1/4,-z+3/4'
'-x,-y+1/2,z'
'x,y+1/2,-z'
'y+3/4,-x+3/4,z+1/4'
'-y+3/4,x+3/4,-z+1/4'
'x+1/2,-y+1/2,-z+1/2'
'-x+1/2,y+1/2,z+1/2'
'-y+3/4,-x+3/4,-z+1/4'
'y+3/4,x+3/4,z+1/4'
'-x,y+1/2,-z'
'x,-y+1/2,z'
'y+3/4,x+1/4,-z+3/4'
'-y+3/4,-x+1/4,z+3/4'
loop_
_atom_site_label
_atom_site_type_symbol
_atom_site_fract_x
_atom_site_fract_y
_atom_site_fract_z
Cs1 Cs 0.000 0.250 0.375
Cd1 Cd 0.000 0.000 0.000
Au1 Au 0.000 0.250 0.875
```

=====

(7)
Here is a relaxed Cs2Cd2Au crystal from Alexandria. Energies are from PBEsol.

Calculated values
Formation enthalpy at 0 K = -40.1 meV/atom
DOS at the Fermi energy = 0.50 states/eV per atom

```
data_Cs2Cd2Au
_chemical_formula_sum 'Cs4 Cd4 Au2'
_space_group_name_H-M_alt 'I 4/m m m'
_space_group_IT_number 139
_space_group_name_Hall '-I 4 2'
_cell_length_a 4.148
_cell_length_b 4.148
_cell_length_c 21.566
_cell_angle_alpha 90.00
_cell_angle_beta 90.00
_cell_angle_gamma 90.00
loop_
_atom_site_label
_atom_site_type_symbol
_atom_site_fract_x
_atom_site_fract_y
_atom_site_fract_z
Cs1 Cs 0.000 0.000 0.095
Cd1 Cd 0.000 0.500 0.250
Au1 Au 0.000 0.000 0.500
```

=====

(8)
Here is a relaxed CsCdAuS2 crystal from Alexandria. Energies are from PBEsol.

Calculated values
Formation energy without anion corrections = 0.200 eV/atom
Energy above the lowest structure with this stoichiometry = 0.919 eV per atom
DOS at the Fermi energy = 0.85 states/eV per atom

```
data_CsCdAuS2
_chemical_formula_sum 'Cs1 Cd1 Au1 S2'
_space_group_name_H-M_alt 'P 4/m m m'
_space_group_IT_number 123
_space_group_name_Hall '-P 4 2'
_cell_length_a 4.865
_cell_length_b 4.865
_cell_length_c 6.301
_cell_angle_alpha 90.00
_cell_angle_beta 90.00
_cell_angle_gamma 90.00
loop_
_atom_site_label
_atom_site_type_symbol
_atom_site_fract_x
_atom_site_fract_y
_atom_site_fract_z
Cs1 Cs 0.000 0.000 0.000
Cd1 Cd 0.500 0.500 0.000
Au1 Au 0.000 0.000 0.500
S1 S 0.000 0.500 0.500
```

=====

(9)
Here is a relaxed CsCdAuS2 crystal from Alexandria. Energies are from PBEsol.

Calculated values
Formation energy without anion corrections = -0.718 eV/atom
Energy above the lowest structure with this stoichiometry = 0.000 eV per atom
DOS at the Fermi energy = 0.00 states/eV per atom

```
data_CsCdAuS2
_chemical_formula_sum 'Cs4 Cd4 Au4 S8'
_space_group_name_H-M_alt 'C m m e'
_space_group_IT_number 67
_space_group_name_Hall '-C 2a 2'
_cell_length_a 6.524
_cell_length_b 13.750
_cell_length_c 6.059
_cell_angle_alpha 90.00
_cell_angle_beta 90.00
_cell_angle_gamma 90.00
loop_
_atom_site_label
_atom_site_type_symbol
_atom_site_fract_x
_atom_site_fract_y
_atom_site_fract_z
Cs1 Cs 0.000 0.250 0.232
Cd1 Cd 0.250 0.000 0.500
Au1 Au 0.000 0.000 0.000
S1 S 0.000 0.111 0.714
```

=====

(10)
Here is a relaxed CdCuAu crystal from Alexandria. Energies are from PBEsol.

Calculated values
Formation enthalpy at 0 K = -33.8 meV/atom
Energy above the lowest structure with this stoichiometry = 0.026 eV per atom
DOS at the Fermi energy = 0.29 states/eV per atom

```
data_CdCuAu
_chemical_formula_sum 'Cd1 Cu1 Au1'
_space_group_name_H-M_alt 'P 3 m 1'
_space_group_IT_number 156
_space_group_name_Hall 'P 3 -2"'
_cell_length_a 4.4304
_cell_length_b 4.4304
_cell_length_c 2.8582
_cell_angle_alpha 90.00
_cell_angle_beta 90.00
_cell_angle_gamma 120.00
loop_
_atom_site_label
_atom_site_type_symbol
_atom_site_fract_x
_atom_site_fract_y
_atom_site_fract_z
Cd1 Cd 0.0000 0.0000 0.0000
Cu1 Cu 0.6667 0.3333 0.5517
Au1 Au 0.3333 0.6667 0.4753
```

=====

(11)
Here is a relaxed Cd2CuAu crystal from Alexandria. Energies are from PBEsol.

Calculated values
Formation enthalpy at 0 K = 0.5 meV/atom
DOS at the Fermi energy = 0.27 states/eV per atom

```
data_Cd2CuAu
_chemical_formula_sum 'Cd4 Cu2 Au2'
_space_group_name_H-M_alt 'C 1 2/m 1'
_space_group_IT_number 12
_space_group_name_Hall '-C 2y'
_cell_length_a 9.403
_cell_length_b 2.934
_cell_length_c 5.021
_cell_angle_alpha 90.00
_cell_angle_beta 101.96
_cell_angle_gamma 90.00
loop_
_atom_site_label
_atom_site_type_symbol
_atom_site_fract_x
_atom_site_fract_y
_atom_site_fract_z
Cd1 Cd 0.242 0.000 0.241
Cu1 Cu 0.000 0.500 0.000
Au1 Au 0.000 0.000 0.500
```

=====

(12)
Here is a relaxed CdCuAu2 crystal from Alexandria. Energies are from PBEsol.

Calculated values
Formation enthalpy at 0 K = -22.9 meV/atom
DOS at the Fermi energy = 0.33 states/eV per atom

```
data_CdCuAu2
_chemical_formula_sum 'Cd3 Cu3 Au6'
_space_group_name_H-M_alt 'R -3 m'
_space_group_IT_number 166
_space_group_name_Hall '-R 3 2"'
_cell_length_a 2.9027
_cell_length_b 2.9027
_cell_length_c 26.9516
_cell_angle_alpha 90.00
_cell_angle_beta 90.00
_cell_angle_gamma 120.00
loop_
_atom_site_label
_atom_site_type_symbol
_atom_site_fract_x
_atom_site_fract_y
_atom_site_fract_z
Cd1 Cd 0.0000 0.0000 0.0000
Cu1 Cu 0.0000 0.0000 0.5000
Au1 Au 0.0000 0.0000 0.2424
```